1.
DyHo2Mg2: optimized geometry, GGA-PBE.

magnetization = 0.0 μB per formula unit
VASP energy = -34.5 eV/cell
energy above the lowest structure with this stoichiometry = 0.000 eV per atom

Structure (CIF):
```
data_DyHo2Mg2
_chemical_formula_sum 'Dy2 Ho4 Mg4'
_space_group_name_H-M_alt 'P 1 21/m 1'
_space_group_IT_number 11
_cell_length_a 3.7061
_cell_length_b 5.4189
_cell_length_c 14.0215
_cell_angle_alpha 90.00
_cell_angle_beta 97.59
_cell_angle_gamma 90.00
loop_
_space_group_symop_operation_xyz
'x,y,z'
'-x,-y,-z'
'-x,y+1/2,-z'
'x,-y+1/2,z'
loop_
_atom_site_label
_atom_site_fract_x
_atom_site_fract_y
_atom_site_fract_z
Dy1 0.1516 0.2500 0.3038
Ho1 0.0440 0.7500 0.0877
Ho2 0.2369 0.7500 0.4746
Mg1 0.3607 0.2500 0.7201
Mg2 0.4461 0.7500 0.8924
```


2.
Dy5HoMg6: optimized geometry, GGA-PBE.

magnetization = 0.0 μB per formula unit
VASP energy = -38.1 eV/cell

Structure (CIF):
```
data_Dy5HoMg6
_chemical_formula_sum 'Dy5 Ho1 Mg6'
_space_group_name_H-M_alt 'P 1 2/m 1'
_space_group_IT_number 10
_cell_length_a 5.3656
_cell_length_b 7.5371
_cell_length_c 8.4799
_cell_angle_alpha 90.00
_cell_angle_beta 108.44
_cell_angle_gamma 90.00
loop_
_space_group_symop_operation_xyz
'x,y,z'
'-x,-y,-z'
'-x,y,-z'
'x,-y,z'
loop_
_atom_site_label
_atom_site_fract_x
_atom_site_fract_y
_atom_site_fract_z
Dy1 0.0000 0.0000 0.0000
Dy2 0.3324 0.0000 0.6664
Dy3 0.3329 0.5000 0.6673
Ho1 0.0000 0.5000 0.0000
Mg1 0.1679 0.2503 0.3334
Mg2 0.5000 0.2502 0.0000
```


3.
Dy2Ho7Mg: optimized geometry, GGA-PBE.

magnetization = 0.0 μB per formula unit
VASP energy = -72.0 eV/cell

Structure (CIF):
```
data_Dy2Ho7Mg
_chemical_formula_sum 'Dy4 Ho14 Mg2'
_space_group_name_H-M_alt 'C m m m'
_space_group_IT_number 65
_space_group_name_Hall '-C 2 2'
_cell_length_a 8.6359
_cell_length_b 16.3187
_cell_length_c 5.3177
_cell_angle_alpha 90.00
_cell_angle_beta 90.00
_cell_angle_gamma 90.00
loop_
_atom_site_label
_atom_site_fract_x
_atom_site_fract_y
_atom_site_fract_z
Dy1 0.0000 0.2056 0.0000
Ho1 0.0000 0.0000 0.0000
Ho2 0.0000 0.2978 0.5000
Ho3 0.1777 0.3926 0.0000
Mg1 0.0000 0.5000 0.5000
```